{"formula": "MgZrSi2", "functional": "PBE", "state": "optimized geometry", "cell": [[4.6591, 0.0000, 0.0000], [2.3295, 4.0349, 0.0000], [2.3295, 1.3450, 3.8041]], "species": ["Mg", "Si", "Si", "Zr"], "frac_coords": [[0.5000, 0.5000, 0.5000], [0.0000, 0.0000, 0.0000], [0.2500, 0.2500, 0.2500], [0.7500, 0.7500, 0.7500]], "final_energy_ev_per_atom": -5.00, "formation_energy_uncorrected_mev_per_atom": 246}



{"formula": "CrTe", "functional": "PBE", "state": "optimized geometry", "cell": [[3.2367, 0.0023, 0.0000], [-0.0038, 3.2367, 0.0000], [0.0000, 0.0000, 7.7796]], "species": ["Cr", "Cr", "Te", "Te"], "frac_coords": [[0.0000, 0.0000, 0.9575], [0.5000, 0.5000, 0.7925], [0.0000, 0.0000, 0.6031], [0.5000, 0.5000, 0.1469]], "final_energy_ev_per_atom": -6.15, "formation_energy_uncorrected_mev_per_atom": 233}



{"formula": "Cs2Sb4Au5", "functional": "PBE", "state": "optimized geometry", "cell": [[-6.8027, 1.3234, -0.9972], [-5.0356, -4.4030, 3.9289], [-3.2806, 5.4015, 4.9680]], "species": ["Cs", "Cs", "Sb", "Sb", "Sb", "Sb", "Au", "Au", "Au", "Au", "Au"], "frac_coords": [[0.8556, 0.0000, 0.2889], [0.1444, 0.0000, 0.7111], [0.4602, 0.3199, 0.7597], [0.5398, 0.6801, 0.2403], [0.2199, 0.3199, 0.2403], [0.7801, 0.6801, 0.7597], [0.5000, 0.0000, 0.0000], [0.0000, 0.5000, 0.0000], [0.5000, 0.5000, 0.0000], [0.2500, 0.5000, 0.5000], [0.7500, 0.5000, 0.5000]], "final_energy_ev_per_atom": -3.38, "formation_energy_uncorrected_mev_per_atom": -231}



{"formula": "ZnHgMo2", "functional": "PBE", "state": "optimized geometry", "cell": [[4.4377, 0.0000, 0.0000], [0.0000, 2.7626, 0.0038], [0.0000, 2.1279, 5.4471]], "species": ["Hg", "Mo", "Mo", "Zn"], "frac_coords": [[0.5000, 0.7500, 0.7500], [0.0000, 0.0117, 0.0257], [0.0000, 0.4883, 0.4743], [0.5000, 0.2500, 0.2500]], "ef_ev_per_atom": 0.374, "final_energy_ev_per_atom": -5.44}



{"formula": "CuSiSe3", "functional": "PBE", "state": "optimized geometry", "cell": [[6.1334, 0.7369, 0.7110], [2.7609, 9.3867, -0.1288], [2.7609, 0.2061, 9.3853]], "species": ["Cu", "Cu", "Cu", "Cu", "Si", "Si", "Si", "Si", "Se", "Se", "Se", "Se", "Se", "Se", "Se", "Se", "Se", "Se", "Se", "Se"], "frac_coords": [[0.7500, 0.2235, 0.7765], [0.2500, 0.9978, 0.0022], [0.7500, 0.0022, 0.9978], [0.2500, 0.7765, 0.2235], [0.5885, 0.3661, 0.2095], [0.0885, 0.2095, 0.3661], [0.9115, 0.7905, 0.6339], [0.4115, 0.6339, 0.7905], [0.1663, 0.4159, 0.2626], [0.6237, 0.0050, 0.7939], [0.6663, 0.2626, 0.4159], [0.3337, 0.7374, 0.5841], [0.8475, 0.8491, 0.4209], [0.1237, 0.7939, 0.0050], [0.8337, 0.5841, 0.7374], [0.8763, 0.2061, 0.9950], [0.3763, 0.9950, 0.2061], [0.3475, 0.4209, 0.8491], [0.1525, 0.1509, 0.5791], [0.6525, 0.5791, 0.1509]], "final_energy_ev_per_atom": -4.21, "formation_energy_uncorrected_mev_per_atom": -214}



{"formula": "Fe3SeN", "functional": "PBE", "state": "optimized geometry", "cell": [[3.9002, 0.0000, 0.0000], [0.0000, 3.9002, 0.0000], [0.0000, 0.0000, 3.9002]], "species": ["Fe", "Fe", "Fe", "Se", "N"], "frac_coords": [[0.0000, 0.5000, 0.0000], [0.0000, 0.0000, 0.5000], [0.5000, 0.0000, 0.0000], [0.5000, 0.5000, 0.5000], [0.0000, 0.0000, 0.0000]], "final_energy_ev_per_atom": -7.32, "formation_energy_uncorrected_mev_per_atom": 115}



{"formula": "AcMg4Ir2", "functional": "PBE", "state": "optimized geometry", "cell": [[4.3232, 0.0000, 0.0000], [0.0000, 8.2786, 0.0000], [0.0000, 0.0000, 8.2786]], "species": ["Ac", "Ac", "Mg", "Mg", "Mg", "Mg", "Mg", "Mg", "Mg", "Mg", "Ir", "Ir", "Ir", "Ir"], "frac_coords": [[0.5000, 0.0000, 0.0000], [0.0000, 0.5000, 0.5000], [0.0000, 0.0935, 0.3387], [0.0000, 0.9065, 0.6613], [0.5000, 0.1613, 0.5935], [0.5000, 0.8387, 0.4065], [0.5000, 0.4065, 0.8387], [0.5000, 0.5935, 0.1613], [0.0000, 0.3387, 0.0935], [0.0000, 0.6613, 0.9065], [0.0000, 0.2128, 0.7872], [0.0000, 0.7872, 0.2128], [0.5000, 0.7128, 0.7128], [0.5000, 0.2872, 0.2872]], "ef_ev_per_atom": -0.425, "final_energy_ev_per_atom": -4.45}



{"formula": "La2Ni", "functional": "PBE", "state": "optimized geometry", "cell": [[-0.6781, 1.0334, 3.6674], [-5.5538, 0.4237, -3.1883], [-1.4665, -6.7972, 1.6442]], "species": ["La", "La", "La", "La", "Ni", "Ni"], "frac_coords": [[0.0851, 0.1702, 0.0315], [0.6370, 0.2740, 0.5314], [0.3602, 0.7203, 0.2774], [0.3620, 0.7239, 0.7773], [0.9677, 0.9354, 0.5243], [0.7548, 0.5095, 0.0247]], "ef_ev_per_atom": -0.221, "final_energy_ev_per_atom": -5.43}



{"formula": "Ac3PmCd2", "functional": "PBE", "state": "optimized geometry", "cell": [[4.0180, 0.0000, 0.0000], [0.0000, 4.0180, 0.0000], [0.0000, 0.0000, 13.4075]], "species": ["Ac", "Ac", "Ac", "Pm", "Cd", "Cd"], "frac_coords": [[0.0000, 0.0000, 0.0000], [0.0000, 0.0000, 0.6912], [0.0000, 0.0000, 0.3088], [0.5000, 0.5000, 0.5000], [0.5000, 0.5000, 0.8428], [0.5000, 0.5000, 0.1572]], "ef_ev_per_atom": -0.179, "final_energy_ev_per_atom": -3.33}



{"formula": "La2YScS", "functional": "PBE", "state": "optimized geometry", "cell": [[-2.9444, -4.5361, -1.7015], [3.4217, -0.5374, -4.4883], [2.9543, -2.8924, 2.5985]], "species": ["Y", "Sc", "S", "La", "La"], "frac_coords": [[0.5000, 0.5000, 0.5000], [0.0000, 0.0000, 0.5000], [0.0000, 0.0000, 0.0000], [0.0000, 0.5000, 0.0000], [0.5000, 0.0000, 0.0000]], "final_energy_ev_per_atom": -6.06, "formation_energy_uncorrected_mev_per_atom": -704}



{"formula": "SrNiH4", "functional": "PBE", "state": "optimized geometry", "cell": [[4.5093, 1.0432, 0.6664], [1.0645, 4.5055, 0.6634], [1.0290, 1.0291, 3.7891]], "species": ["Sr", "Ni", "H", "H", "H", "H"], "frac_coords": [[0.5013, 0.4973, 0.9982], [0.0014, 0.9972, 0.4980], [0.3792, 0.9268, 0.3441], [0.6234, 0.0678, 0.6522], [0.0718, 0.6193, 0.6520], [0.9307, 0.3752, 0.3444]], "final_energy_ev_per_atom": -3.80}



{"formula": "La3W", "functional": "PBE", "state": "optimized geometry", "cell": [[3.4491, 0.0000, 0.0085], [0.0000, 4.8677, 0.0000], [1.7725, 0.0000, 6.6687]], "species": ["La", "La", "La", "W"], "frac_coords": [[0.9547, 0.0000, 0.9657], [0.5453, 0.0000, 0.5343], [0.2500, 0.5000, 0.2500], [0.7500, 0.5000, 0.7500]], "ef_ev_per_atom": 0.547, "final_energy_ev_per_atom": -6.39}



{"formula": "BaSb2Pb", "functional": "PBE", "state": "optimized geometry", "cell": [[6.6579, 0.0015, 0.0024], [2.9380, 5.9746, -0.0024], [-4.2455, -3.8752, 3.3595]], "species": ["Ba", "Pb", "Sb", "Sb"], "frac_coords": [[0.5024, 0.5024, 0.0000], [0.2256, 0.7256, 0.5000], [0.9891, 0.9891, 0.0000], [0.7829, 0.2829, 0.5000]], "final_energy_ev_per_atom": -3.87, "formation_energy_uncorrected_mev_per_atom": -402}



{"formula": "La2Sb4Pb", "functional": "PBE", "state": "optimized geometry", "cell": [[4.4228, 0.0000, 0.0000], [0.0000, 4.4228, 0.0000], [0.0000, 0.0000, 11.7798]], "species": ["La", "La", "Sb", "Sb", "Sb", "Sb", "Pb"], "frac_coords": [[0.5000, 0.0000, 0.7170], [0.0000, 0.5000, 0.2830], [0.5000, 0.0000, 0.1914], [0.0000, 0.5000, 0.8086], [0.5000, 0.5000, 0.5000], [0.0000, 0.0000, 0.5000], [0.5000, 0.5000, 0.0000]], "final_energy_ev_per_atom": -5.02, "formation_energy_uncorrected_mev_per_atom": -722}



{"formula": "NaCrI2", "functional": "PBE", "state": "optimized geometry", "cell": [[6.8201, 0.0000, 0.0000], [0.0000, 6.8201, 0.0000], [3.4101, 3.4101, 6.8522]], "species": ["I", "I", "I", "I", "Cr", "Cr", "Na", "Na"], "frac_coords": [[0.6599, 0.1250, 0.2500], [0.0901, 0.6250, 0.2500], [0.3750, 0.3401, 0.7500], [0.8750, 0.9099, 0.7500], [0.0000, 0.0000, 0.0000], [0.7500, 0.2500, 0.5000], [0.5000, 0.5000, 0.0000], [0.2500, 0.7500, 0.5000]], "final_energy_ev_per_atom": -3.95, "formation_energy_uncorrected_mev_per_atom": -435}



{"formula": "InSi2Mo", "functional": "PBE", "state": "optimized geometry", "cell": [[-3.9609, 2.2785, 0.2004], [-3.6956, -1.9931, 1.8141], [-1.6178, 1.4236, 4.0344]], "species": ["In", "Mo", "Si", "Si"], "frac_coords": [[0.5000, 0.5000, 0.5000], [0.7500, 0.7500, 0.7500], [0.0000, 0.0000, 0.0000], [0.2500, 0.2500, 0.2500]], "final_energy_ev_per_atom": -5.38, "formation_energy_uncorrected_mev_per_atom": 727}



{"formula": "Dy8Ho4Th", "functional": "PBE", "state": "optimized geometry", "cell": [[6.0731, -0.0004, -3.2764], [-3.9202, 5.6789, -0.0005], [1.9490, 1.3463, 10.8790]], "species": ["Dy", "Dy", "Dy", "Dy", "Dy", "Dy", "Dy", "Dy", "Ho", "Ho", "Ho", "Ho", "Th"], "frac_coords": [[0.5965, 0.7982, 0.3947], [0.4035, 0.2018, 0.6053], [0.4999, 0.2500, 0.2668], [0.9832, 0.2332, 0.7332], [0.5001, 0.7500, 0.7332], [0.9832, 0.7500, 0.7332], [0.0168, 0.2500, 0.2668], [0.0168, 0.7668, 0.2668], [0.0000, 0.0000, 0.0000], [0.0000, 0.5000, 0.0000], [0.5000, 0.5000, 0.0000], [0.5000, 0.0000, 0.0000], [0.0000, 0.5000, 0.5000]], "ef_ev_per_atom": 0.282, "final_energy_ev_per_atom": -4.53}



{"formula": "PrZnCuAu", "functional": "PBE", "state": "optimized geometry", "cell": [[4.8683, 0.0000, 0.0000], [2.4341, 4.2161, 0.0000], [2.4341, 1.4054, 3.9749]], "species": ["Pr", "Zn", "Au", "Cu"], "frac_coords": [[0.0000, 0.0000, 0.0000], [0.5000, 0.5000, 0.5000], [0.7500, 0.7500, 0.7500], [0.2500, 0.2500, 0.2500]], "ef_ev_per_atom": -0.320, "final_energy_ev_per_atom": -3.68}



{"formula": "MgIrRu2", "functional": "PBE", "state": "optimized geometry", "cell": [[-0.0758, 4.5108, -0.1935], [-2.3763, -0.2044, -3.8343], [-2.4470, 0.0239, 1.5153]], "species": ["Ir", "Mg", "Ru", "Ru"], "frac_coords": [[0.5000, 0.0000, 0.5000], [0.0000, 0.5000, 0.5000], [0.0000, 0.0000, 0.0000], [0.5000, 0.5000, 0.0000]], "ef_ev_per_atom": 0.173, "final_energy_ev_per_atom": -7.08}



{"formula": "Ti5CoGe5", "functional": "PBE", "state": "optimized geometry", "cell": [[5.1421, 0.0000, 0.0000], [-2.5711, 4.8960, -0.6807], [0.0000, -2.5795, 7.8758]], "species": ["Ti", "Ti", "Ti", "Ti", "Ti", "Co", "Ge", "Ge", "Ge", "Ge", "Ge"], "frac_coords": [[0.6738, 0.3476, 0.3526], [0.6581, 0.3161, 0.8099], [0.0000, 0.0000, 0.5000], [0.3419, 0.6839, 0.1901], [0.3262, 0.6524, 0.6474], [0.0000, 0.0000, 0.0000], [0.8325, 0.6650, 0.1537], [0.8535, 0.7071, 0.6863], [0.5000, 0.0000, 0.0000], [0.1465, 0.2929, 0.3137], [0.1675, 0.3350, 0.8463]], "ef_ev_per_atom": -0.146, "final_energy_ev_per_atom": -6.48}